# PBE Pm3Pu2Fe4, optimized geometry
# ΔH_f (0 K) = -6 kJ per mole of atoms
data_Pm3Pu2Fe4
_space_group_name_H-M_alt 'C 1 2/m 1'
_space_group_IT_number 12
_cell_length_a 11.111
_cell_length_b 4.050
_cell_length_c 8.591
_cell_angle_alpha 90.00
_cell_angle_beta 104.24
_cell_angle_gamma 90.00
loop_
_space_group_symop_operation_xyz
'x,y,z'
'-x,-y,-z'
'-x,y,-z'
'x,-y,z'
'x+1/2,y+1/2,z'
'-x+1/2,-y+1/2,-z'
'-x+1/2,y+1/2,-z'
'x+1/2,-y+1/2,z'
loop_
_atom_site_label
_atom_site_fract_x
_atom_site_fract_y
_atom_site_fract_z
Pm1 0.000 0.000 0.000
Pm2 0.124 0.500 0.381
Pu1 0.172 0.500 0.782
Fe1 0.085 0.000 0.636
Fe2 0.234 0.500 0.090